Compound: WIOF2
Source: the Alexandria database
Functional: PBE+U
Structure: relaxed

a b c (Å): 5.0244 5.0244 4.0584
angles (deg): 90.00 90.00 90.00
Space group P4/mmm (No. 123)
Symmetry-distinct sites (fractional):
W: 0.0000 0.0000 0.0000
I: 0.5000 0.5000 0.5000
O: 0.5000 0.5000 0.0000
F: 0.0000 0.5000 0.5000

Output
Total DFT energy (no corrections) ... -3.366 eV/atom
D(E_F) ... 3.19 states/eV/cell
Excess energy over the best structure of this formula in the dataset ... 1408 meV per atom
Total magnetization ... 4.71 μB per formula unit
Calculated density ... 5.91 Mg/m³